Record 1
The following is a DFT calculation (PBE) of a relaxed structure of Li2Au.

Cell and atoms, written as extended XYZ:
```
6
Lattice="-3.1568 3.1568 2.7397 3.1568 -3.1568 2.7397 3.1568 3.1568 -2.7397" Properties=species:S:1:pos:R:3 pbc="T T T"
Li 4.2368 1.0800 0.0000
Li 1.0800 2.0768 0.0000
Li 2.0768 1.0800 2.7397
Li -1.0800 2.0768 2.7397
Au 0.0000 0.0000 1.3699
Au 0.0000 0.0000 4.1096
```

- symmetry = I4/mcm
- DFT formation energy (kJ/mol of atoms) = -41.7
- calculated volume (Å³ per atom) = 18.20
- calculated density (g/cm³) = 6.4

Record 2
The following is a DFT calculation (PBE) of a relaxed structure of Li2Au5.

Cell and atoms, written as extended XYZ:
```
14
Lattice="-3.4301 6.2089 2.7747 3.4301 -6.2089 2.7747 3.4301 6.2089 -2.7747" Properties=species:S:1:pos:R:3 pbc="T T T"
Li 1.5257 1.5605 0.0000
Li 1.5257 -1.5605 2.7747
Li 1.9044 7.7695 0.0000
Li 1.9044 4.6484 2.7747
Au 3.4301 -2.8629 1.3874
Au 5.7335 1.0974 0.0000
Au 3.4301 0.0000 1.3874
Au 2.3034 5.1116 0.0000
Au 3.4301 2.8629 1.3874
Au 0.0000 3.3460 1.3874
Au 1.1267 1.0974 2.7747
Au 0.0000 6.2089 1.3874
Au -2.3034 5.1116 2.7747
Au 0.0000 9.0719 1.3874
```

- symmetry = Ibam
- offset from the most stable computed form (eV per atom) = 0.025
- DFT formation energy (kJ/mol of atoms) = -30.6
- calculated volume (Å³ per atom) = 16.88
- calculated density (g/cm³) = 14.0

Record 3
The following is a DFT calculation (PBE) of a relaxed structure of Li3Au2.

Cell and atoms, written as extended XYZ:
```
10
Lattice="2.6796 1.5470 6.9259 -2.6796 1.5470 6.9259 0.0000 -3.0941 6.9259" Properties=species:S:1:pos:R:3 pbc="T T T"
Li -1.4916 0.5105 8.6573
Li -1.1879 -1.0365 12.1203
Li 0.3037 -1.5470 8.6573
Li -0.3037 1.5470 12.1203
Li 1.1879 1.0365 8.6573
Li 1.4916 -0.5105 12.1203
Au 0.0000 0.0000 3.8037
Au 0.0000 0.0000 6.5851
Au 0.0000 0.0000 14.1925
Au 0.0000 0.0000 16.9739
```

- symmetry = R-3c
- offset from the most stable computed form (eV per atom) = 0.129
- DFT formation energy (kJ/mol of atoms) = -34.8
- calculated volume (Å³ per atom) = 17.23
- calculated density (g/cm³) = 8.0

Record 4
The following is a DFT calculation (PBE) of a relaxed structure of Li6Au.

Cell and atoms, written as extended XYZ:
```
14
Lattice="4.0475 -3.4583 0.0000 4.0475 3.4583 0.0000 0.0000 0.0000 9.2487" Properties=species:S:1:pos:R:3 pbc="T T T"
Li 2.5578 2.0941 2.3122
Li 4.0475 2.3265 5.4762
Li 4.0475 2.3265 8.3969
Li 2.6261 0.0000 0.0000
Li 2.6261 0.0000 4.6244
Li 5.5372 2.0941 2.3122
Li 2.5578 -2.0941 6.9366
Li 5.4689 0.0000 0.0000
Li 5.4689 0.0000 4.6244
Li 4.0475 -2.3265 0.8519
Li 4.0475 -2.3265 3.7725
Li 5.5372 -2.0941 6.9366
Au 4.0475 0.1342 6.9366
Au 4.0475 -0.1342 2.3122
```

- symmetry = Cmcm
- offset from the most stable computed form (eV per atom) = 0.000
- DFT formation energy (kJ/mol of atoms) = -21.2
- calculated volume (Å³ per atom) = 18.49
- calculated density (g/cm³) = 3.1

Record 5
The following is a DFT calculation (PBE) of a relaxed structure of LiAu3.

Cell and atoms, written as extended XYZ:
```
4
Lattice="2.8955 0.0000 0.0000 0.0000 4.1545 0.0000 0.0000 0.0000 5.6812" Properties=species:S:1:pos:R:3 pbc="T T T"
Li 0.0000 0.0000 0.0000
Au 0.0000 0.0000 2.8406
Au 1.4478 2.0772 1.3704
Au 1.4478 2.0772 4.3109
```

- symmetry = Pmmm
- DFT formation energy (kJ/mol of atoms) = -30.0
- calculated volume (Å³ per atom) = 17.09
- calculated density (g/cm³) = 14.5

Record 6
The following is a DFT calculation (PBE) of a relaxed structure of Li2Au.

Cell and atoms, written as extended XYZ:
```
6
Lattice="1.9345 -5.9730 0.0000 1.9345 5.9730 0.0000 0.0000 0.0000 4.0510" Properties=species:S:1:pos:R:3 pbc="T T T"
Li 1.9345 5.0647 3.0383
Li 1.9345 2.9544 1.0128
Li 1.9345 -2.9544 3.0383
Li 1.9345 -5.0647 1.0128
Au 1.9345 1.0971 3.0383
Au 1.9345 -1.0971 1.0128
```

- symmetry = Cmcm
- DFT formation energy (kJ/mol of atoms) = -44.7
- calculated volume (Å³ per atom) = 15.60
- calculated density (g/cm³) = 7.5

Record 7
The following is a DFT calculation (PBE) of a relaxed structure of LiAu3.

Cell and atoms, written as extended XYZ:
```
8
Lattice="3.9407 -3.7417 0.0000 3.9407 3.7417 0.0000 0.0000 0.0000 4.9999" Properties=species:S:1:pos:R:3 pbc="T T T"
Li 3.9407 3.2669 3.7500
Li 3.9407 -3.2669 1.2500
Au 2.5539 1.7981 1.2500
Au 3.9407 0.7383 3.7500
Au 5.3274 1.7981 1.2500
Au 2.5539 -1.7981 3.7500
Au 3.9407 -0.7383 1.2500
Au 5.3274 -1.7981 3.7500
```

- symmetry = Cmcm
- DFT formation energy (kJ/mol of atoms) = -17.5
- calculated volume (Å³ per atom) = 18.43
- calculated density (g/cm³) = 13.5

Record 8
The following is a DFT calculation (PBE) of a relaxed structure of Li2Au13.

Cell and atoms, written as extended XYZ:
```
15
Lattice="3.8004 2.1941 6.8346 -3.8004 2.1941 6.8346 0.0000 -4.3883 6.8346" Properties=species:S:1:pos:R:3 pbc="T T T"
Li 0.0000 0.0000 4.7727
Li 0.0000 0.0000 15.7313
Au 0.0000 0.0000 0.0000
Au 0.0000 -2.6853 4.6289
Au -2.3256 1.3427 4.6289
Au 0.0000 -1.5841 7.3476
Au -1.3718 0.7920 7.3476
Au -2.3256 -1.3427 15.8750
Au -1.3718 -0.7920 13.1563
Au 1.3718 0.7920 7.3476
Au 2.3256 1.3427 4.6289
Au 1.3718 -0.7920 13.1563
Au 0.0000 1.5841 13.1563
Au 2.3256 -1.3427 15.8751
Au 0.0000 2.6853 15.8751
```

- symmetry = R-3m
- DFT formation energy (kJ/mol of atoms) = 4.6
- calculated volume (Å³ per atom) = 22.80
- calculated density (g/cm³) = 12.5

Record 9
The following is a DFT calculation (PBE) of a relaxed structure of Li4Au.

Cell and atoms, written as extended XYZ:
```
5
Lattice="4.9188 0.0000 0.0000 0.0000 4.9188 0.0000 0.0000 0.0000 4.9188" Properties=species:S:1:pos:R:3 pbc="T T T"
Li 0.0000 0.0000 0.0000
Li 0.0000 2.4594 2.4594
Li 2.4594 0.0000 2.4594
Li 2.4594 2.4594 0.0000
Au 2.4594 2.4594 2.4594
```

- symmetry = Pm-3m
- offset from the most stable computed form (eV per atom) = 0.195
- DFT formation energy (kJ/mol of atoms) = -11.6
- calculated volume (Å³ per atom) = 23.80
- calculated density (g/cm³) = 3.1

Record 10
The following is a DFT calculation (PBE) of a relaxed structure of LiAu6.

Cell and atoms, written as extended XYZ:
```
7
Lattice="2.3136 1.3357 6.6436 -2.3136 1.3357 6.6436 0.0000 -2.6715 6.6436" Properties=species:S:1:pos:R:3 pbc="T T T"
Li 0.0000 0.0000 0.0000
Au 0.0000 0.0000 2.8221
Au 0.0000 0.0000 5.7478
Au 0.0000 0.0000 8.5253
Au 0.0000 0.0000 11.4056
Au 0.0000 0.0000 14.1831
Au 0.0000 0.0000 17.1089
```

- symmetry = R-3m
- offset from the most stable computed form (eV per atom) = 0.000
- DFT formation energy (kJ/mol of atoms) = -15.2
- calculated volume (Å³ per atom) = 17.60
- calculated density (g/cm³) = 16.0

Record 11
The following is a DFT calculation (PBE) of a relaxed structure of Li7Au3.

Cell and atoms, written as extended XYZ:
```
10
Lattice="7.0452 -2.1611 0.0000 7.0452 2.1611 0.0000 -1.9744 0.0000 5.1277" Properties=species:S:1:pos:R:3 pbc="T T T"
Li 0.0000 0.0000 0.0000
Li 1.2989 0.0000 3.9287
Li 5.2648 0.0000 0.5994
Li 4.3554 0.0000 3.1259
Li 7.7606 0.0000 2.0018
Li 6.8512 0.0000 4.5284
Li 10.8171 0.0000 1.1990
Au -0.9872 0.0000 2.5639
Au 2.2672 0.0000 1.3581
Au 9.8488 0.0000 3.7697
```

- symmetry = C2/m
- DFT formation energy (kJ/mol of atoms) = -41.1
- calculated volume (Å³ per atom) = 15.61
- calculated density (g/cm³) = 6.8

Record 12
The following is a DFT calculation (PBE) of a relaxed structure of LiAu4.

Cell and atoms, written as extended XYZ:
```
5
Lattice="4.1329 -2.7519 0.0000 4.1329 2.7519 0.0000 -2.2471 0.0000 4.1019" Properties=species:S:1:pos:R:3 pbc="T T T"
Li 0.0000 0.0000 0.0000
Au 0.9429 1.3760 2.0510
Au 2.8342 0.0000 0.4967
Au 0.9429 -1.3760 2.0510
Au 3.1845 0.0000 3.6052
```

- symmetry = C2/m
- offset from the most stable computed form (eV per atom) = 0.053
- DFT formation energy (kJ/mol of atoms) = -18.9
- calculated volume (Å³ per atom) = 18.66
- calculated density (g/cm³) = 14.1